Record 1
TbTeAuO | PBE-GGA | relaxed

Results
Polymorph energy (0 for the lowest one): 0.000 eV/atom
Uncorrected energy: -92.75 eV per cell
Total magnetization: 0.0001 μB per atom
SG: Aea2, No. 41

abc: 4.049 4.049 20.699
angles: 90.00 90.00 90.20
Sites, in units of the cell vectors:
Tb 0.965 0.535 0.948
Tb 0.465 0.035 0.552
Au 0.221 0.784 0.750
Te 0.967 0.536 0.639
O 0.465 0.535 0.000
Au 0.721 0.284 0.750
O 0.965 0.035 0.000
Te 0.964 0.533 0.139
Tb 0.965 0.535 0.448
O 0.465 0.535 0.500
Tb 0.465 0.035 0.052
Au 0.216 0.779 0.250
O 0.965 0.035 0.500
Au 0.716 0.279 0.250
Te 0.467 0.036 0.861
Te 0.464 0.033 0.361

***

Record 2
TbTeAuO | PBE-GGA | relaxed

Results
Polymorph energy (0 for the lowest one): 0.000 eV/atom
Uncorrected energy: -46.37 eV per cell
Total magnetization: 0.0002 μB per atom
SG: Aem2, No. 39

abc: 4.050 4.050 10.343
angles: 90.00 90.00 90.19
Sites, in units of the cell vectors:
Au 0.373 0.627 0.500
Tb 0.622 0.878 0.896
Te 0.623 0.877 0.278
Au 0.873 0.127 0.500
Te 0.123 0.377 0.722
O 0.122 0.878 0.000
O 0.622 0.378 0.000
Tb 0.122 0.378 0.104

***

Record 3
TbTeAuO | PBE-GGA | relaxed

Results
Polymorph energy (0 for the lowest one): 0.025 eV/atom
Uncorrected energy: -92.35 eV per cell
Total magnetization: 0.0001 μB per atom
SG: Pba2, No. 32

abc: 5.706 5.675 10.209
angles: 90.00 90.00 90.00
Sites, in units of the cell vectors:
O 0.752 0.250 0.003
O 0.248 0.750 0.003
Te 0.500 0.500 0.720
O 0.252 0.250 0.003
Au 0.656 0.708 0.492
Au 0.844 0.208 0.492
Te 0.500 0.000 0.288
Tb 0.000 0.500 0.895
Tb 0.500 0.000 0.895
Tb 0.000 0.000 0.108
Au 0.344 0.292 0.492
Te 0.000 0.000 0.720
Te 0.000 0.500 0.288
O 0.748 0.750 0.003
Au 0.156 0.792 0.492
Tb 0.500 0.500 0.108

***

Record 4
TbTeAuO | PBE-GGA | relaxed

Results
Polymorph energy (0 for the lowest one): 0.466 eV/atom
Uncorrected energy: -42.64 eV per cell
Total magnetization: 0.0005 μB per atom
SG: Pmc2_1, No. 26

abc: 4.453 6.033 6.880
angles: 90.00 90.00 90.00
Sites, in units of the cell vectors:
Au 0.000 0.792 0.619
Te 0.000 0.365 0.745
Tb 0.500 0.200 0.456
O 0.500 0.949 0.672
Te 0.000 0.635 0.245
Au 0.000 0.208 0.119
O 0.500 0.051 0.172
Tb 0.500 0.800 0.956

***

Q: The highest polymorph energy (0 for the lowest one) belongs to which entry?
A: number 4

***

Q: The highest total magnetization belongs to which entry?
A: number 4